(1)
First-principles (GGA-PBE) data for CsHg2SbRu after structural relaxation, as listed in Alexandria.

## Properties
**SG**: No. 123
**Uncorrected formation energy**: -0.059 eV per atom
**Calculated volume**: 30.7 A^3/atom
**Total DFT energy (no corrections)**: -3.030 eV/atom

Lattice parameters (Å, degrees): 5.5163 5.5163 5.0383 90.00 90.00 90.00
With the nearest neighbours (Å) after each atom.
Fractional coordinates of all 5 atoms:
Cs1 0.0000 0.0000 0.0000  8 Hg 3.74, 4 Sb 3.90
Hg1 0.0000 0.5000 0.5000  2 Ru 2.76
Hg2 0.5000 0.0000 0.5000  2 Ru 2.76
Sb1 0.5000 0.5000 0.0000  2 Ru 2.52
Ru1 0.5000 0.5000 0.5000  2 Sb 2.52, 4 Hg 2.76

***

(2)
First-principles (GGA-PBE) data for CaInPb2 after structural relaxation, as listed in Alexandria.

## Properties
**SG**: No. 160
**Energy of formation from the pure elements**: -0.1277 eV per atom
**Calculated volume**: 31.3 A^3/atom
**Total DFT energy (no corrections)**: -3.167 eV/atom

Lattice parameters (Å, degrees): 10.3932 10.3932 10.3932 20.90 20.90 20.90
With the nearest neighbours (Å) after each atom.
Fractional coordinates of all 4 atoms:
Ca1 0.0000 0.0000 0.0000  3 In 3.32, 3 Pb 3.41
In1 0.2509 0.2509 0.2509  3 Pb 3.27, 3 Ca 3.32
Pb1 0.5041 0.5041 0.5041  3 In 3.27, 3 Pb 3.37
Pb2 0.7530 0.7530 0.7530  9 Pb 3.37-3.77, 3 Ca 3.41

***

(3)
First-principles (GGA-PBE) data for CeHf2Hg after structural relaxation, as listed in Alexandria.

## Properties
**SG**: No. 166
**Energy of formation from the pure elements**: 0.2268 eV per atom
**Calculated volume**: 23.2 A^3/atom
**Energy above the lowest structure with this stoichiometry**: 192.3 meV/atom
**Total DFT energy (no corrections)**: -6.309 eV/atom

Lattice parameters (Å, degrees): 11.3273 11.3273 11.3273 15.70 15.70 15.70
With the nearest neighbours (Å) after each atom.
Fractional coordinates of all 4 atoms:
Ce1 0.0000 0.0000 0.0000  2 Hf 3.06, 6 Ce 3.09
Hf1 0.0912 0.0912 0.0912  1 Ce 3.06, 6 Hf 3.09, 3 Hg 3.10
Hf2 0.9088 0.9088 0.9088  1 Ce 3.06, 6 Hf 3.09, 3 Hg 3.10
Hg1 0.5000 0.5000 0.5000  6 Hg 3.09, 6 Hf 3.10

***

(4)
First-principles (GGA-PBE) data for Li3PmHg2 after structural relaxation, as listed in Alexandria.

## Properties
**SG**: No. 12
**Energy of formation from the pure elements**: -0.3091 eV per atom
**Calculated volume**: 21.3 A^3/atom
**Total DFT energy (no corrections)**: -2.158 eV/atom

Lattice parameters (Å, degrees): 7.7949 7.7949 9.6123 121.63 121.63 31.49
With the nearest neighbours (Å) after each atom.
Fractional coordinates of all 12 atoms:
Li1 0.0644 0.0644 0.4134  3 Hg 2.75-2.86, 5 Li 2.76-3.06
Li2 0.2610 0.2610 0.4157  6 Li 2.79-3.07, 3 Hg 2.88-2.95
Li3 0.4247 0.4247 0.3182  3 Hg 2.69-2.88, 3 Li 2.76-2.95
Li4 0.5753 0.5753 0.6818  3 Hg 2.69-2.88, 3 Li 2.76-2.95
Li5 0.7390 0.7390 0.5843  6 Li 2.79-3.07, 3 Hg 2.88-2.95
Li6 0.9356 0.9356 0.5866  3 Hg 2.75-2.86, 5 Li 2.76-3.06
Pm1 0.1237 0.1237 0.9987  7 Hg 3.18-3.36, 4 Li 3.36-3.45
Pm2 0.8763 0.8763 0.0013  7 Hg 3.18-3.36, 4 Li 3.36-3.45
Hg1 0.2038 0.2038 0.7527  5 Li 2.69-2.88
Hg2 0.4225 0.4225 0.7756  6 Li 2.86-3.15, 1 Hg 3.17
Hg3 0.5775 0.5775 0.2244  6 Li 2.86-3.15, 1 Hg 3.17
Hg4 0.7962 0.7962 0.2473  5 Li 2.69-2.88

***

Question: Among the records above, which one has the lowest calculated volume?
Answer: Li3PmHg2

***

Question: Which value of calculated volume does entry 4 give?
Answer: 21.3 A^3/atom

***

Question: The highest calculated volume belongs to which entry?
Answer: CaInPb2

***

Question: calculated volume of number 1 (CsHg2SbRu)?
Answer: 30.7 A^3/atom